Record 1
Computed, not measured: a geometry-optimized In5Sn2Hg structure at the PBE level of DFT.

Geometry as extended XYZ:
```
8
Lattice="5.787 -3.379 0.000 5.787 3.379 0.000 -3.912 0.000 5.513" Properties=species:S:1:pos:R:3 pbc="T T T"
In 0.000 0.000 0.000
In 2.892 1.689 0.002
In 0.943 1.687 2.759
In 2.892 -1.689 0.002
In 0.943 -1.687 2.759
Sn -1.954 0.000 2.755
Sn 5.783 0.000 0.006
Hg 3.839 0.000 2.764
```

Summary:
Calculated formation energy, eV/atom: 0.031
Energy above the lowest structure with this stoichiometry, eV/f.u.: 0.10



Record 2
Computed, not measured: a geometry-optimized In5SnHg7 structure at the PBE level of DFT.

Geometry as extended XYZ:
```
13
Lattice="-3.080 5.580 5.354 3.080 -5.580 5.354 3.080 5.580 -5.354" Properties=species:S:1:pos:R:3 pbc="T T T"
In 0.000 0.000 0.000
In 1.567 2.759 -0.326
In 4.593 2.759 -0.326
In -1.513 2.821 5.027
In 1.513 2.821 5.027
Sn 3.080 0.000 4.267
Hg 3.080 3.209 -3.019
Hg 3.080 0.000 1.262
Hg 0.000 0.000 4.541
Hg 0.000 2.371 2.335
Hg 3.080 4.000 2.334
Hg 0.000 5.580 2.204
Hg 0.000 1.579 7.687
```

Summary:
Calculated formation energy, eV/atom: 0.061



Record 3
Computed, not measured: a geometry-optimized In2Sn5Hg2 structure at the PBE level of DFT.

Geometry as extended XYZ:
```
18
Lattice="-8.865 4.460 3.225 8.865 -4.460 3.225 8.865 4.460 -3.225" Properties=species:S:1:pos:R:3 pbc="T T T"
In 0.000 0.000 0.000
In 8.865 0.000 0.000
In 4.432 3.120 1.094
In 4.432 1.340 4.319
Sn 13.297 1.391 -0.713
Sn 6.025 4.218 -1.693
Sn 11.704 -0.242 1.532
Sn 2.840 0.242 1.532
Sn 6.025 0.242 1.532
Sn 10.684 2.771 0.630
Sn 7.046 -1.689 3.854
Sn -4.432 3.069 2.512
Sn 1.819 6.149 0.630
Sn -1.819 1.689 3.854
Hg 1.292 2.904 0.850
Hg 7.573 2.904 0.850
Hg -1.292 6.016 0.850
Hg 1.292 1.556 4.075
```

Summary:
Calculated formation energy, eV/atom: 0.065



Record 4
Computed, not measured: a geometry-optimized InSn3Hg structure at the PBE level of DFT.

Geometry as extended XYZ:
```
5
Lattice="5.606 0.000 0.000 0.000 5.606 0.000 0.000 0.000 5.606" Properties=species:S:1:pos:R:3 pbc="T T T"
In 0.000 0.000 0.000
Sn 0.000 2.803 2.803
Sn 2.803 0.000 2.803
Sn 2.803 2.803 0.000
Hg 2.803 2.803 2.803
```

Summary:
Calculated formation energy, eV/atom: 0.512
Energy above the lowest structure with this stoichiometry, eV/f.u.: 2.14



Record 5
Computed, not measured: a geometry-optimized In2SnHg7 structure at the PBE level of DFT.

Geometry as extended XYZ:
```
10
Lattice="5.078 -9.070 0.000 5.078 9.070 0.000 0.000 0.000 3.153" Properties=species:S:1:pos:R:3 pbc="T T T"
In 5.078 5.788 0.000
In 5.078 -5.788 0.000
Sn 0.000 0.000 1.576
Hg 2.521 1.694 0.000
Hg 5.078 3.060 1.576
Hg 2.521 -1.694 0.000
Hg 5.078 0.000 0.000
Hg 7.634 1.694 0.000
Hg 5.078 -3.060 1.576
Hg 7.634 -1.694 0.000
```

Summary:
Calculated formation energy, eV/atom: 0.067



Record 6
Computed, not measured: a geometry-optimized InSn6Hg structure at the PBE level of DFT.

Geometry as extended XYZ:
```
8
Lattice="4.942 -4.276 0.000 4.942 4.276 0.000 -3.384 0.000 5.351" Properties=species:S:1:pos:R:3 pbc="T T T"
In 0.000 0.000 0.000
Sn -0.052 2.066 4.020
Sn 4.030 0.000 1.313
Sn -0.052 -2.066 4.020
Sn 6.551 2.066 1.331
Sn 2.470 0.000 4.038
Sn 6.551 -2.066 1.331
Hg -1.692 0.000 2.675
```

Summary:
Calculated formation energy, eV/atom: 0.071
Energy above the lowest structure with this stoichiometry, eV/f.u.: 0.09



Record 7
Computed, not measured: a geometry-optimized In5Sn12Hg3 structure at the PBE level of DFT.

Geometry as extended XYZ:
```
80
Lattice="-8.695 8.695 8.695 8.695 -8.695 8.695 8.695 8.695 -8.695" Properties=species:S:1:pos:R:3 pbc="T T T"
In 0.000 0.000 0.000
In 4.348 4.348 -4.348
In 4.348 -4.348 4.348
In 8.695 0.000 0.000
In 13.043 2.174 0.000
In 8.695 -4.348 6.521
In 6.521 8.695 -4.348
In 6.521 0.000 4.348
In 4.348 6.521 0.000
In 8.695 4.348 2.174
In -4.348 4.348 4.348
In 0.000 8.695 0.000
In 0.000 0.000 8.695
In 4.348 4.348 4.348
In 0.000 4.348 6.521
In 4.348 2.174 8.695
In 2.174 8.695 4.348
In 2.174 0.000 13.043
In 0.000 13.043 2.174
In -4.348 6.521 8.695
Sn 8.427 -1.468 2.630
Sn 13.311 -1.717 2.880
Sn 2.630 -0.269 1.468
Sn 10.412 5.815 -4.616
Sn 11.325 0.269 1.468
Sn 10.412 -2.880 4.616
Sn 1.468 2.630 -0.269
Sn 11.575 4.079 -1.717
Sn 5.815 4.616 -1.717
Sn 7.227 2.630 0.269
Sn -0.269 1.468 2.630
Sn 4.616 -1.717 5.815
Sn 8.427 7.227 -2.630
Sn 4.616 1.717 2.880
Sn 7.227 -2.630 8.427
Sn 5.815 -4.616 10.412
Sn 2.880 4.616 1.717
Sn 10.163 6.065 0.269
Sn 2.630 8.427 -1.468
Sn 10.412 2.880 4.079
Sn 1.717 2.880 4.616
Sn 2.630 0.269 7.227
Sn 4.616 10.412 -2.880
Sn 8.427 1.468 6.065
Sn 0.269 7.227 2.630
Sn 4.079 -1.717 11.575
Sn 6.065 8.427 1.468
Sn 6.978 5.815 4.079
Sn -1.717 5.815 4.616
Sn 6.065 0.269 10.163
Sn -1.468 2.630 8.427
Sn 5.815 4.079 6.978
Sn 2.880 13.311 -1.717
Sn 1.468 11.325 0.269
Sn 4.079 6.978 5.815
Sn 0.269 1.468 11.325
Sn 4.079 10.412 2.880
Sn 8.964 7.227 6.065
Sn 1.468 6.065 8.427
Sn 2.880 4.079 10.412
Sn -2.880 4.616 10.412
Sn 7.227 6.065 8.964
Sn -1.717 11.575 4.079
Sn -2.630 8.427 7.227
Sn -1.717 2.880 13.311
Sn 6.065 8.964 7.227
Sn -4.616 10.412 5.815
Sn 0.269 10.163 6.065
Hg 4.348 2.174 0.000
Hg 8.695 4.348 -2.174
Hg 2.174 0.000 4.348
Hg 10.869 0.000 4.348
Hg 0.000 4.348 2.174
Hg 4.348 -2.174 8.695
Hg 4.348 10.869 0.000
Hg 8.695 4.348 6.521
Hg -2.174 8.695 4.348
Hg 6.521 8.695 4.348
Hg 0.000 4.348 10.869
Hg 4.348 6.521 8.695
```

Summary:
Calculated formation energy, eV/atom: 0.180



Record 8
Computed, not measured: a geometry-optimized In9Sn2Hg structure at the PBE level of DFT.

Geometry as extended XYZ:
```
12
Lattice="5.066 0.000 0.000 0.000 5.066 0.000 0.000 0.000 12.760" Properties=species:S:1:pos:R:3 pbc="T T T"
In 0.000 0.000 0.000
In 0.000 0.000 4.279
In 0.000 0.000 8.482
In 0.000 2.533 2.121
In 0.000 2.533 6.380
In 0.000 2.533 10.640
In 2.533 0.000 2.121
In 2.533 0.000 6.380
In 2.533 0.000 10.640
Sn 2.533 2.533 4.267
Sn 2.533 2.533 8.493
Hg 2.533 2.533 0.000
```

Summary:
Calculated formation energy, eV/atom: 0.023



Record 9
Computed, not measured: a geometry-optimized In2Sn5Hg5 structure at the PBE level of DFT.

Geometry as extended XYZ:
```
12
Lattice="6.832 -1.756 0.000 6.832 1.756 0.000 -3.944 0.000 13.665" Properties=species:S:1:pos:R:3 pbc="T T T"
In 1.614 0.000 2.546
In 8.106 0.000 11.118
Sn -1.972 0.000 6.832
Sn 4.395 0.000 0.894
Sn 2.999 0.000 8.965
Sn 6.722 0.000 4.700
Sn 5.325 0.000 12.771
Hg 0.000 0.000 0.000
Hg -1.428 0.000 10.126
Hg 2.406 0.000 5.718
Hg 7.315 0.000 7.947
Hg 11.148 0.000 3.539
```

Summary:
Calculated formation energy, eV/atom: 0.068



Record 10
Computed, not measured: a geometry-optimized InSnHg2 structure at the PBE level of DFT.

Geometry as extended XYZ:
```
8
Lattice="4.742 -3.930 0.000 4.742 3.930 0.000 -2.328 0.000 5.828" Properties=species:S:1:pos:R:3 pbc="T T T"
In 2.996 2.370 4.371
In 4.160 -2.370 1.457
Sn 4.160 1.687 1.457
Sn 2.996 -1.687 4.371
Hg 0.655 0.328 4.505
Hg 1.818 -0.328 1.591
Hg 5.337 0.328 4.237
Hg 6.501 -0.328 1.323
```

Summary:
Calculated formation energy, eV/atom: 0.039



Record 11
Computed, not measured: a geometry-optimized In7Sn5Hg structure at the PBE level of DFT.

Geometry as extended XYZ:
```
13
Lattice="6.414 -6.067 0.000 6.414 6.067 0.000 -1.002 0.000 4.668" Properties=species:S:1:pos:R:3 pbc="T T T"
In 0.000 0.000 0.000
In 4.494 4.386 2.100
In 1.462 0.000 2.681
In 6.518 2.820 0.014
In 8.535 0.000 4.278
In 6.518 -2.820 0.014
In 4.494 -4.386 2.100
Sn 3.579 1.678 0.641
Sn 3.579 -1.678 0.641
Sn 8.016 2.804 2.769
Sn 7.043 0.000 1.487
Sn 8.016 -2.804 2.769
Hg 4.643 0.000 3.260
```

Summary:
Calculated formation energy, eV/atom: 0.055



Record 12
Computed, not measured: a geometry-optimized In3SnHg8 structure at the PBE level of DFT.

Geometry as extended XYZ:
```
12
Lattice="0.000 7.617 4.746 4.939 0.000 4.746 4.939 7.617 0.000" Properties=species:S:1:pos:R:3 pbc="T T T"
In 0.000 0.000 0.000
In 2.469 3.809 2.293
In 7.408 11.426 7.039
Sn 4.939 7.617 4.728
Hg 4.939 5.641 2.349
Hg 7.424 5.777 4.676
Hg 7.424 9.458 4.676
Hg 4.939 9.593 2.349
Hg 4.939 5.655 7.105
Hg 2.453 5.777 4.676
Hg 2.453 9.458 4.676
Hg 4.939 9.579 7.105
```

Summary:
Calculated formation energy, eV/atom: 0.041



no.,DOS at the Fermi energy (states/eV/f.u.),total DFT energy (no corrections) (Ha/atom)
1,3.041,-0.100
2,4.566,-0.054
3,3.900,-0.104
4,4.787,-0.092
5,3.618,-0.040
6,3.038,-0.122
7,7.707,-0.108
8,5.026,-0.100
9,5.665,-0.080
10,1.754,-0.066
11,6.278,-0.110
12,3.397,-0.043